Entry from Alexandria: crystalline SrIn2GaNi at its relaxed geometry (PBE).

The value obtained for the total magnetization is 0.00 μB/f.u.

It has space group P4/mmm (No. 123), with a = 5.048 Å, b = 5.048 Å, c = 4.752 Å, α = 90.00°, β = 90.00° and γ = 90.00°. Symmetry generates all atoms from Sr at (0.000, 0.000, 0.000), In at (0.000, 0.500, 0.500), Ga at (0.500, 0.500, 0.000) and Ni at (0.500, 0.500, 0.500).

***

Entry from Alexandria: crystalline SrInGa2Ni at its relaxed geometry (PBE).

The value obtained for the total magnetization is 0.00 μB/f.u.

It has space group P4/mmm (No. 123), with a = 4.750 Å, b = 4.750 Å, c = 4.993 Å, α = 90.00°, β = 90.00° and γ = 90.00°. Symmetry generates all atoms from Sr at (0.000, 0.000, 0.000), In at (0.500, 0.500, 0.000), Ga at (0.000, 0.500, 0.500) and Ni at (0.500, 0.500, 0.500).

***

Entry from Alexandria: crystalline TbInGa2Ni5 at its relaxed geometry (PBE).

The value obtained for the total magnetization is 0.00 μB/f.u.

It has space group P4/mmm (No. 123), with a = 3.957 Å, b = 3.957 Å, c = 8.837 Å, α = 90.00°, β = 90.00° and γ = 90.00°. Symmetry generates all atoms from Tb at (0.000, 0.000, 0.000), In at (0.000, 0.000, 0.500), Ga at (0.500, 0.500, 0.359), Ni at (0.000, 0.500, 0.215) and Ni at (0.500, 0.500, 0.000).

***

Number 1: energy relative to the elements -0.252 eV/atom. Number 2: energy relative to the elements -0.275 eV/atom. Number 3: energy relative to the elements -0.137 eV/atom.